Entry 1:
Below is a relaxed structure of Mg8Cd6Pd, with properties calculated at the PBE level. Values from VASP.

Summary:
* SG: No. 148
* energy relative to the lowest polymorph listed for this composition: 25 meV/atom

Geometry as Quantum ESPRESSO input:
```
&SYSTEM
  ibrav = 0, nat = 15, ntyp = 3
/
ATOMIC_SPECIES
Mg 24.30 Mg.upf
Cd 112.41 Cd.upf
Pd 106.42 Pd.upf
CELL_PARAMETERS angstrom
-4.050 1.996 6.922
-0.876 -5.583 6.031
3.356 0.614 6.719
ATOMIC_POSITIONS crystal
Mg 0.575 0.197 0.354
Mg 0.803 0.126 0.646
Mg 0.126 0.425 0.646
Mg 0.661 0.661 0.016
Mg 0.339 0.339 0.984
Mg 0.874 0.575 0.354
Mg 0.197 0.874 0.354
Mg 0.425 0.803 0.646
Cd 0.385 0.045 0.850
Cd 0.955 0.279 0.150
Cd 0.279 0.615 0.150
Cd 0.721 0.385 0.850
Cd 0.045 0.721 0.850
Cd 0.615 0.955 0.150
Pd 0.000 0.000 0.000
```

=====

Entry 2:
Below is a relaxed structure of MgCd2Pd6, with properties calculated at the PBE level. Values from VASP.

Summary:
* SG: No. 12

Geometry as Quantum ESPRESSO input:
```
&SYSTEM
  ibrav = 0, nat = 9, ntyp = 3
/
ATOMIC_SPECIES
Mg 24.30 Mg.upf
Cd 112.41 Cd.upf
Pd 106.42 Pd.upf
CELL_PARAMETERS angstrom
-0.642 2.419 -1.380
-7.242 -2.489 -0.994
2.065 3.093 7.207
ATOMIC_POSITIONS crystal
Mg 0.000 0.000 0.000
Cd 0.650 0.664 0.328
Cd 0.350 0.336 0.672
Pd 0.158 0.352 0.331
Pd 0.842 0.021 0.669
Pd 0.842 0.648 0.669
Pd 0.500 0.295 0.000
Pd 0.158 0.979 0.331
Pd 0.500 0.705 0.000
```

=====

Entry 3:
Below is a relaxed structure of Mg2Cd5Pd, with properties calculated at the PBE level. Values from VASP.

Summary:
* SG: No. 55
* energy relative to the lowest polymorph listed for this composition: 10 meV/atom

Geometry as Quantum ESPRESSO input:
```
&SYSTEM
  ibrav = 0, nat = 16, ntyp = 3
/
ATOMIC_SPECIES
Mg 24.30 Mg.upf
Cd 112.41 Cd.upf
Pd 106.42 Pd.upf
CELL_PARAMETERS angstrom
4.242 0.000 0.000
0.000 6.175 0.000
0.000 0.000 12.353
ATOMIC_POSITIONS crystal
Mg 0.500 0.226 0.616
Mg 0.500 0.774 0.384
Mg 0.500 0.274 0.116
Mg 0.500 0.726 0.884
Cd 0.000 0.000 0.000
Cd 0.000 0.500 0.500
Cd 0.000 0.489 0.756
Cd 0.000 0.511 0.244
Cd 0.000 0.011 0.256
Cd 0.000 0.989 0.744
Cd 0.500 0.244 0.877
Cd 0.500 0.756 0.123
Cd 0.500 0.256 0.377
Cd 0.500 0.744 0.623
Pd 0.000 0.000 0.500
Pd 0.000 0.500 0.000
```

=====

Entry 4:
Below is a relaxed structure of Mg2CdPd5, with properties calculated at the PBE level. Values from VASP.

Summary:
* SG: No. 55

Geometry as Quantum ESPRESSO input:
```
&SYSTEM
  ibrav = 0, nat = 16, ntyp = 3
/
ATOMIC_SPECIES
Mg 24.30 Mg.upf
Cd 112.41 Cd.upf
Pd 106.42 Pd.upf
CELL_PARAMETERS angstrom
4.180 0.000 0.000
0.000 5.601 0.000
0.000 0.000 11.102
ATOMIC_POSITIONS crystal
Mg 0.500 0.302 0.364
Mg 0.500 0.698 0.636
Mg 0.500 0.198 0.864
Mg 0.500 0.802 0.136
Cd 0.000 0.000 0.500
Cd 0.000 0.500 0.000
Pd 0.500 0.287 0.119
Pd 0.500 0.713 0.881
Pd 0.500 0.787 0.381
Pd 0.500 0.213 0.619
Pd 0.000 0.942 0.749
Pd 0.000 0.058 0.251
Pd 0.000 0.442 0.751
Pd 0.000 0.558 0.249
Pd 0.000 0.500 0.500
Pd 0.000 0.000 0.000
```

=====

no.,M_tot (Bohr magnetons per cell),energy relative to the elements (eV/atom)
1,0.0,-0.069
2,0.0,-0.268
3,0.0,-0.178
4,0.0,-0.551